A plane-wave DFT calculation with PBE was carried out for an optimized crystal structure of Pr2P2PbN6. Values from VASP.

```
&SYSTEM
  ibrav = 0, nat = 11, ntyp = 4
/
ATOMIC_SPECIES
N 14.01 N.upf
P 30.97 P.upf
Pr 140.91 Pr.upf
Pb 207.20 Pb.upf
CELL_PARAMETERS angstrom
6.741 -0.637 0.533
2.827 5.162 0.417
0.812 -2.894 5.206
ATOMIC_POSITIONS crystal
N 0.860 0.491 0.248
N 0.587 0.288 0.118
P 0.238 0.714 0.749
Pr 0.826 0.393 0.784
Pr 0.174 0.607 0.216
Pb 0.500 0.000 0.500
N 0.845 0.091 0.382
N 0.140 0.509 0.752
N 0.155 0.909 0.618
P 0.762 0.286 0.251
N 0.413 0.712 0.882
```

Summary:
Total moment = 0.00 μB/f.u.
Calculated volume = 191.8 Å³ per cell
DFT total energy = -80.5 eV for the cell shown
Energy relative to the elements, uncorrected = -583.7 meV per atom


A plane-wave DFT calculation with PBE was carried out for an optimized crystal structure of Tb4Dy8Pu. Values from VASP.

```
&SYSTEM
  ibrav = 0, nat = 13, ntyp = 3
/
ATOMIC_SPECIES
Pu 244.00 Pu.upf
Dy 162.50 Dy.upf
Tb 158.93 Tb.upf
CELL_PARAMETERS angstrom
7.516 -1.142 1.316
0.900 7.549 1.316
-1.501 -1.142 7.481
ATOMIC_POSITIONS crystal
Pu 0.500 0.500 0.500
Dy 0.756 0.756 0.756
Dy 0.756 0.756 0.245
Tb 0.500 0.500 0.000
Dy 0.244 0.244 0.244
Dy 0.244 0.755 0.244
Dy 0.244 0.244 0.755
Dy 0.756 0.245 0.756
Dy 0.755 0.244 0.244
Tb 0.500 0.000 0.500
Dy 0.245 0.756 0.756
Tb 0.000 0.000 0.000
Tb 0.000 0.500 0.500
```

Summary:
Total moment = 6.52 μB/f.u.
Calculated formation energy = 0.519 eV per atom
Fermi-level density of states = 19.0 states/eV/f.u.
Calculated volume = 459.2 Å³ per cell
DFT total energy = -62.9 eV for the cell shown


- Number 2 is which compound?
  Tb4Dy8Pu